1.
DFT (GGA-PBE) results for a relaxed V2NiAs crystal.

Space-group type ... I-42d (122)
Energy relative to the elements ... 0.062 eV/atom
Volume ... 14.0 Å³/atom

The structure in POSCAR format:
```
V2NiAs
1.0
-3.315 3.315 2.547
3.315 -3.315 2.547
3.315 3.315 -2.547
V Ni As
4 2 2
direct
0.118 0.625 0.993
0.375 0.368 0.493
0.632 0.125 0.007
0.875 0.882 0.507
0.000 0.000 0.000
0.750 0.250 0.500
0.250 0.750 0.500
0.500 0.500 0.000
```

---

2.
DFT (GGA-PBE) results for a relaxed RbNdAgTe2 crystal.

Formation energy from raw total energies ... -827.5 meV/atom
Space-group type ... P2/c (13)
Volume ... 38.3 Å³/atom

The structure in POSCAR format:
```
RbNdAgTe2
1.0
8.600 0.000 0.000
0.000 4.952 0.000
-0.842 0.000 8.995
Rb Nd Ag Te
2 2 2 4
direct
0.000 0.094 0.250
0.000 0.906 0.750
0.500 0.496 0.750
0.500 0.504 0.250
0.500 0.000 0.000
0.500 0.000 0.500
0.255 0.381 0.979
0.255 0.619 0.479
0.745 0.381 0.521
0.745 0.619 0.021
```

---

3.
DFT (GGA-PBE) results for a relaxed Ce2RuRh3 crystal.

Space-group type ... I4_1/amd (141)
Energy relative to the elements ... -0.227 eV/atom
Volume ... 19.5 Å³/atom

The structure in POSCAR format:
```
Ce2RuRh3
1.0
-4.645 4.645 5.420
4.645 -4.645 5.420
4.645 4.645 -5.420
Ce Ru Rh
8 4 12
direct
0.241 0.299 0.558
0.241 0.682 0.942
0.299 0.241 0.058
0.318 0.759 0.558
0.682 0.241 0.442
0.701 0.759 0.942
0.759 0.318 0.058
0.759 0.701 0.442
0.010 0.760 0.250
0.240 0.990 0.250
0.760 0.010 0.750
0.990 0.240 0.750
0.000 0.500 0.500
0.088 0.338 0.176
0.088 0.912 0.750
0.338 0.088 0.676
0.338 0.662 0.250
0.500 0.000 0.000
0.500 0.500 0.000
0.500 0.500 0.500
0.662 0.338 0.750
0.662 0.912 0.324
0.912 0.088 0.250
0.912 0.662 0.824
```

---

4.
DFT (GGA-PBE) results for a relaxed Ba2YCu3S7 crystal.

Formation energy from raw total energies ... -1051.1 meV/atom
Space-group type ... Pmmm (47)
Volume ... 22.3 Å³/atom

The structure in POSCAR format:
```
Ba2YCu3S7
1.0
4.389 0.000 0.000
0.000 4.769 0.000
0.000 0.000 13.849
Ba Y Cu S
2 1 3 7
direct
0.000 0.000 0.183
0.000 0.000 0.817
0.000 0.000 0.500
0.500 0.500 0.000
0.500 0.500 0.335
0.500 0.500 0.665
0.000 0.500 0.382
0.000 0.500 0.618
0.500 0.000 0.000
0.500 0.000 0.369
0.500 0.000 0.631
0.500 0.500 0.160
0.500 0.500 0.840
```

---

5.
DFT (GGA-PBE) results for a relaxed BaTi3Co crystal.

Space-group type ... Pm-3m (221)
Excess energy over the best structure of this formula in the dataset ... 1861.3 meV per atom
Energy relative to the elements ... 2.248 eV/atom
Volume ... 23.4 Å³/atom

The structure in POSCAR format:
```
BaTi3Co
1.0
4.891 0.000 0.000
0.000 4.891 0.000
0.000 0.000 4.891
Ba Ti Co
1 3 1
direct
0.000 0.000 0.000
0.000 0.000 0.500
0.000 0.500 0.000
0.500 0.000 0.000
0.500 0.500 0.500
```

---

6.
DFT (GGA-PBE) results for a relaxed Ti3AuC crystal.

Space-group type ... C2/m (12)
Excess energy over the best structure of this formula in the dataset ... 210.0 meV per atom
Energy relative to the elements ... -0.411 eV/atom
Volume ... 15.7 Å³/atom

The structure in POSCAR format:
```
Ti3AuC
1.0
7.714 -1.554 0.000
7.714 1.554 0.000
-3.423 0.000 6.555
Ti Au C
6 2 2
direct
0.068 0.068 0.356
0.251 0.251 0.338
0.411 0.411 0.969
0.589 0.589 0.031
0.749 0.749 0.662
0.932 0.932 0.644
0.137 0.137 0.792
0.863 0.863 0.208
0.341 0.341 0.650
0.659 0.659 0.350
```

---

7.
DFT (GGA-PBE) results for a relaxed AcHfAs2Pd2 crystal.

Space-group type ... P-3m1 (164)
Energy relative to the elements ... -0.941 eV/atom
Volume ... 20.9 Å³/atom

The structure in POSCAR format:
```
AcHfAs2Pd2
1.0
4.416 0.000 0.000
-2.208 3.825 0.000
0.000 0.000 7.415
Ac Hf As Pd
1 1 2 2
direct
0.000 0.000 0.000
0.000 0.000 0.500
0.333 0.667 0.272
0.667 0.333 0.728
0.333 0.667 0.675
0.667 0.333 0.325
```

---

8.
DFT (GGA-PBE) results for a relaxed Y2MgIn2 crystal.

Space-group type ... I4/mmm (139)
Energy relative to the elements ... 0.026 eV/atom
Volume ... 29.9 Å³/atom

The structure in POSCAR format:
```
Y2MgIn2
1.0
-2.094 2.094 8.512
2.094 -2.094 8.512
2.094 2.094 -8.512
Y Mg In
2 1 2
direct
0.101 0.101 0.000
0.899 0.899 0.000
0.500 0.500 0.000
0.250 0.750 0.500
0.750 0.250 0.500
```

---

9.
DFT (GGA-PBE) results for a relaxed AcPmCI crystal.

Formation energy from raw total energies ... -624.4 meV/atom
Space-group type ... R3m (160)
Volume ... 27.4 Å³/atom

The structure in POSCAR format:
```
AcPmCI
1.0
1.976 1.141 8.099
-1.976 1.141 8.099
0.000 -2.281 8.099
Ac Pm C I
1 1 1 1
direct
0.000 0.000 0.000
0.216 0.216 0.216
0.602 0.602 0.602
0.782 0.782 0.782
```

---

10.
DFT (GGA-PBE) results for a relaxed K2SnPCO7 crystal.

Formation energy from raw total energies ... -1833.4 meV/atom
Space-group type ... P2_1/m (11)
Volume ... 17.1 Å³/atom

The structure in POSCAR format:
```
K2SnPCO7
1.0
5.865 0.000 0.000
0.000 7.042 0.000
-0.087 0.000 9.932
K Sn P C O
4 2 2 2 14
direct
0.244 0.017 0.279
0.244 0.483 0.279
0.756 0.517 0.721
0.756 0.983 0.721
0.299 0.250 0.880
0.701 0.750 0.120
0.225 0.750 0.927
0.775 0.250 0.073
0.241 0.250 0.611
0.759 0.750 0.389
0.041 0.250 0.071
0.067 0.250 0.696
0.214 0.250 0.485
0.315 0.571 0.850
0.315 0.929 0.850
0.319 0.750 0.075
0.443 0.250 0.671
0.557 0.750 0.329
0.681 0.250 0.925
0.685 0.071 0.150
0.685 0.429 0.150
0.786 0.750 0.515
0.933 0.750 0.304
0.959 0.750 0.929
```

---

11.
DFT (GGA-PBE) results for a relaxed NaSiB crystal.

Formation energy from raw total energies ... 443.8 meV/atom
Space-group type ... Imm2 (44)
Volume ... 18.8 Å³/atom

The structure in POSCAR format:
```
NaSiB
1.0
-1.766 8.445 2.842
1.766 -8.445 2.842
1.766 8.445 -2.842
Na Si B
3 3 3
direct
0.000 0.000 0.000
0.155 0.455 0.700
0.755 0.455 0.300
0.288 0.409 0.879
0.530 0.409 0.121
0.605 0.105 0.500
0.300 0.964 0.336
0.447 0.447 0.000
0.628 0.964 0.664
```

---

12.
DFT (GGA-PBE) results for a relaxed LaCo3Ir crystal.

Space-group type ... Pm-3m (221)
Excess energy over the best structure of this formula in the dataset ... 0.0 meV per atom
Energy relative to the elements ... 0.470 eV/atom
Volume ... 19.8 Å³/atom

The structure in POSCAR format:
```
LaCo3Ir
1.0
4.627 0.000 0.000
0.000 4.627 0.000
0.000 0.000 4.627
La Co Ir
1 3 1
direct
0.000 0.000 0.000
0.000 0.500 0.500
0.500 0.000 0.500
0.500 0.500 0.000
0.500 0.500 0.500
```

---

Q: Number 8 is which compound?
A: Y2MgIn2